No. 1
DFT (PBE) results for a relaxed structure of BaNbCu.

Computed properties:
**M_tot**: 0.00 μB per cell
**Symmetry**: P4/nmm (129)
**Calculated formation energy**: 1.09 eV/atom
**DOS at the Fermi energy**: 3.3 states/eV/cell

Cell and atoms, written as POSCAR:
```
BaNbCu
1.0
4.2370 0.0000 0.0000
0.0000 4.2370 0.0000
0.0000 0.0000 8.0160
Cu Nb Ba
2 2 2
direct
0.0000 0.5000 0.8016
0.5000 0.0000 0.1984
0.5000 0.0000 0.9041
0.0000 0.5000 0.0959
0.0000 0.0000 0.5000
0.5000 0.5000 0.5000
```



No. 2
DFT (PBE) results for a relaxed structure of Ba2NdNbCu2O8.

Computed properties:
**M_tot**: 0.00 μB per cell
**Symmetry**: P4/mmm (123)
**E_form (uncorrected)**: -2.27 eV per atom
**DOS at the Fermi energy**: 2.8 states/eV/cell

Cell and atoms, written as POSCAR:
```
Ba2NdNbCu2O8
1.0
-0.8707 -3.4394 -1.8523
3.9054 -0.7206 -0.4978
0.2869 -5.8305 10.6911
O Cu Ba Nd Nb
8 2 2 1 1
direct
0.0000 0.0000 0.8359
0.0000 0.5000 0.6247
0.5000 0.0000 0.6247
0.0000 0.0000 0.1641
0.0000 0.5000 0.0000
0.0000 0.5000 0.3753
0.5000 0.0000 0.0000
0.5000 0.0000 0.3753
0.0000 0.0000 0.3607
0.0000 0.0000 0.6393
0.5000 0.5000 0.1959
0.5000 0.5000 0.8041
0.5000 0.5000 0.5000
0.0000 0.0000 0.0000
```



No. 3
DFT (PBE) results for a relaxed structure of BaNb4Cu3O12.

Computed properties:
**M_tot**: 0.00 μB per cell
**Symmetry**: Im-3 (204)
**E_form (uncorrected)**: -2.02 eV per atom
**DOS at the Fermi energy**: 3.7 states/eV/cell

Cell and atoms, written as POSCAR:
```
BaNb4Cu3O12
1.0
-6.0730 0.1398 2.9856
0.5873 -5.6666 -3.6550
4.8421 0.1478 4.7272
O Nb Ba Cu
12 4 1 3
direct
0.8856 0.6988 0.1868
0.1144 0.3012 0.8132
0.4879 0.3012 0.1868
0.6988 0.1868 0.8856
0.8132 0.5121 0.6988
0.5121 0.6988 0.8132
0.8132 0.1144 0.3012
0.1868 0.8856 0.6988
0.3012 0.1868 0.4879
0.1868 0.4879 0.3012
0.3012 0.8132 0.1144
0.6988 0.8132 0.5121
0.0000 0.0000 0.5000
0.5000 0.5000 0.5000
0.5000 0.0000 0.0000
0.0000 0.5000 0.0000
0.0000 0.0000 0.0000
0.5000 0.5000 0.0000
0.5000 0.0000 0.5000
0.0000 0.5000 0.5000
```



No. 4
DFT (PBE) results for a relaxed structure of Ba2NbCuO6.

Computed properties:
**M_tot**: 0.00 μB per cell
**Symmetry**: I4/mmm (139)
**E_form (uncorrected)**: -2.19 eV per atom
**DOS at the Fermi energy**: 4.3 states/eV/cell

Cell and atoms, written as POSCAR:
```
Ba2NbCuO6
1.0
-2.5608 -3.1691 3.7648
1.7055 -4.5526 -2.6721
4.2584 3.7976 2.0063
Cu Ba O Nb
1 2 6 1
direct
0.5000 0.0000 0.0000
0.2500 0.2500 0.5000
0.7500 0.7500 0.5000
0.7408 0.7590 0.9998
0.7845 0.2843 0.5686
0.2592 0.7592 0.0002
0.2592 0.2410 0.0002
0.7408 0.2408 0.9998
0.2155 0.7157 0.4314
0.0000 0.5000 0.0000
```



No. 5
DFT (PBE) results for a relaxed structure of Ba3NbCu2O9.

Computed properties:
**M_tot**: 0.00 μB per cell
**Symmetry**: P-3m1 (164)
**E_form (uncorrected)**: -1.88 eV per atom
**DOS at the Fermi energy**: 11.9 states/eV/cell

Cell and atoms, written as POSCAR:
```
Ba3NbCu2O9
1.0
-3.9794 3.9909 -1.1118
0.0248 -4.9307 -2.9473
-4.2474 -2.8956 4.8085
O Cu Ba Nb
9 2 3 1
direct
0.6688 0.8344 0.3351
0.1656 0.8344 0.3351
0.8344 0.1656 0.6649
0.0000 0.5000 0.0000
0.5000 0.5000 0.0000
0.1656 0.3312 0.3351
0.3312 0.1656 0.6649
0.8344 0.6688 0.6649
0.5000 0.0000 0.0000
0.3333 0.6667 0.1626
0.6667 0.3333 0.8374
0.3333 0.6667 0.6776
0.0000 0.0000 0.0000
0.6667 0.3333 0.3224
0.0000 0.0000 0.5000
```



No. 6
DFT (PBE) results for a relaxed structure of Ba2PrNbCu2O8.

Computed properties:
**M_tot**: 0.00 μB per cell
**Symmetry**: I4/mcm (140)
**E_form (uncorrected)**: -2.27 eV per atom
**DOS at the Fermi energy**: 4.5 states/eV/cell

Cell and atoms, written as POSCAR:
```
Ba2PrNbCu2O8
1.0
-7.5306 -4.4365 -9.5782
-0.6121 -8.3536 -9.8983
2.6088 3.6126 12.1769
Cu Ba O Nb Pr
4 4 16 2 2
direct
0.3200 0.3200 0.0000
0.1800 0.1800 0.0000
0.6800 0.6800 0.0000
0.8200 0.8200 0.0000
0.4019 0.9019 0.5000
0.0981 0.5981 0.5000
0.5981 0.0981 0.5000
0.9019 0.4019 0.5000
0.5636 0.0636 0.0018
0.0636 0.0618 0.5000
0.4364 0.9364 0.9982
0.7000 0.2000 0.8999
0.8000 0.7000 0.5000
0.3000 0.8000 0.1001
0.0808 0.0808 0.0000
0.4382 0.4364 0.5000
0.9382 0.4382 0.0018
0.9364 0.9382 0.5000
0.0618 0.5618 0.9982
0.5618 0.5636 0.5000
0.5808 0.5808 0.0000
0.2000 0.3000 0.5000
0.4192 0.4192 0.0000
0.9192 0.9192 0.0000
0.0000 0.0000 0.0000
0.5000 0.5000 0.0000
0.2500 0.7500 0.5000
0.7500 0.2500 0.5000
```



Number 1: E -4.28 eV per atom. Number 2: E -7.03 eV per atom. Number 3: E -7.71 eV per atom. Number 4: E -6.97 eV per atom. Number 5: E -6.46 eV per atom. Number 6: E -7.03 eV per atom.